# Pm6NdErSc2

A geometry-optimized Pm6NdErSc2 structure (PBE, Alexandria via LeMat-Bulk).

Lattice parameters (Å, degrees): 9.092 14.983 9.598 90.00 98.68 90.00
Space group C2/c (No. 15)
Symmetry-distinct sites (fractional):
Pm 0.066 0.173 0.447
Pm 0.098 0.398 0.620
Pm 0.209 0.227 0.819
Nd 0.000 0.404 0.250
Er 0.000 0.029 0.750
Sc 0.242 0.048 0.048

Results
- E_tot (eV/atom) = -4.927
- energy of formation (eV per atom) = 0.123

# Ti2ZnBi

A geometry-optimized Ti2ZnBi structure (PBE, Alexandria via LeMat-Bulk).

Lattice parameters (Å, degrees): 4.1887 4.1887 17.3429 90.00 90.00 120.00
Space group R3m (No. 160, hexagonal axes)
Symmetry-distinct sites (fractional):
Ti 0.0000 0.0000 0.0000
Ti 0.0000 0.0000 0.1514
Zn 0.0000 0.0000 0.4057
Bi 0.0000 0.0000 0.5755

Results
- polymorph energy (0 for the lowest one) (meV/atom) = 306
- E_tot (eV/atom) = -4.976
- energy of formation (eV per atom) = 0.260

# La4IrRh

A geometry-optimized La4IrRh structure (PBE, Alexandria via LeMat-Bulk).

Lattice parameters (Å, degrees): 8.563 8.563 8.563 90.00 90.00 90.00
Space group F-43m (No. 216)
Symmetry-distinct sites (fractional):
La 0.125 0.125 0.125
Ir 0.000 0.000 0.500
Rh 0.250 0.250 0.750

Results
- polymorph energy (0 for the lowest one) (meV/atom) = 1233
- E_tot (eV/atom) = -5.352
- energy of formation (eV per atom) = 0.635

# YbRh2Pb

A geometry-optimized YbRh2Pb structure (PBE, Alexandria via LeMat-Bulk).

Lattice parameters (Å, degrees): 6.618 6.618 6.618 90.00 90.00 90.00
Space group Fm-3m (No. 225)
Symmetry-distinct sites (fractional):
Yb 0.000 0.000 0.000
Rh 0.250 0.250 0.250
Pb 0.000 0.000 0.500

Results
- E_tot (eV/atom) = -5.508
- energy of formation (eV per atom) = -0.523

# CsInO2

A geometry-optimized CsInO2 structure (PBE, Alexandria via LeMat-Bulk).

Lattice parameters (Å, degrees): 9.241 10.602 5.976 90.00 127.84 90.00
Space group C2/c (No. 15)
Symmetry-distinct sites (fractional):
Cs 0.000 0.160 0.250
In 0.000 0.480 0.750
O 0.144 0.404 0.619

Results
- E_tot (eV/atom) = -4.783
- energy relative to the elements, uncorrected (eV/atom) = -1.4056

# PmZn2PN4

A geometry-optimized PmZn2PN4 structure (PBE, Alexandria via LeMat-Bulk).

Lattice parameters (Å, degrees): 5.206 5.206 6.987 90.00 90.00 90.00
Space group I-42m (No. 121)
Symmetry-distinct sites (fractional):
Pm 0.000 0.000 0.000
Zn 0.000 0.500 0.250
P 0.000 0.000 0.500
N 0.188 0.188 0.633

Results
- E_tot (eV/atom) = -6.435
- energy relative to the elements, uncorrected (eV/atom) = -0.6841

The records above give, respectively, magnetization values of 0.00; 2.94; 0.00; 0.00; 0.00; 0.00 μB/cell.